# 1
The following is a DFT calculation (PBE) of an optimized crystal structure of AcGaSiPt2.

Properties
Fermi-level density of states, states/eV/atom: 0.47
Calculated density, Mg/m³: 11.6
DFT total energy, eV/atom: -5.912

Lattice parameters (Å, degrees): 6.1232 6.1232 6.1232 137.93 137.93 61.01
Last column: nearest neighbours and their distance in Å.
Atoms (fractional coordinates):
Ac  0.0000  0.0000  0.0000  8 Pt 3.41, 4 Si 3.43, 4 Ga 3.43
Ga  0.7500  0.2500  0.5000  4 Pt 2.52
Si  0.2500  0.7500  0.5000  4 Pt 2.52
Pt  0.3660  0.3660  0.0000  2 Si 2.52, 2 Ga 2.52
Pt  0.6340  0.6340  0.0000  2 Si 2.52, 2 Ga 2.52

# 2
The following is a DFT calculation (PBE) of an optimized crystal structure of Pt3PbI.

Properties
Fermi-level density of states, states/eV/atom: 0.68
Energy relative to the lowest polymorph listed for this composition, meV per atom: 0.0
Calculated density, Mg/m³: 11.9
DFT total energy, eV/atom: -3.887

Lattice parameters (Å, degrees): 5.0410 5.0410 5.0410 90.00 90.00 90.00
Last column: nearest neighbours and their distance in Å.
Atoms (fractional coordinates):
Pt  0.0000  0.0000  0.5000  2 I 2.52
Pt  0.0000  0.5000  0.0000  2 I 2.52
Pt  0.5000  0.0000  0.0000  2 I 2.52
Pb  0.5000  0.5000  0.5000  12 Pt 3.56
I  0.0000  0.0000  0.0000  6 Pt 2.52

# 3
The following is a DFT calculation (PBE) of an optimized crystal structure of Tb5Pr4Dy2.

Properties
Fermi-level density of states, states/eV/atom: 1.53
Energy relative to the lowest polymorph listed for this composition, meV per atom: 119.2
Calculated density, Mg/m³: 7.3
DFT total energy, eV/atom: -4.454

Lattice parameters (Å, degrees): 12.7046 12.7046 12.7046 163.97 137.60 45.61
Last column: nearest neighbours and their distance in Å.
Atoms (fractional coordinates):
Tb  0.0000  0.0000  0.0000  4 Pr 3.29, 2 Tb 3.54
Tb  0.0530  0.3563  0.6967  2 Pr 3.44-3.50, 2 Dy 3.48, 3 Tb 3.54-3.61
Tb  0.3404  0.6437  0.6967  2 Pr 3.44-3.50, 2 Dy 3.48, 3 Tb 3.54-3.61
Tb  0.6596  0.3563  0.3033  2 Pr 3.44-3.50, 2 Dy 3.48, 3 Tb 3.54-3.61
Tb  0.9470  0.6437  0.3033  2 Pr 3.44-3.50, 2 Dy 3.48, 3 Tb 3.54-3.61
Pr  0.2687  0.7687  0.5000  1 Dy 3.15, 2 Tb 3.44
Pr  0.3021  0.5000  0.8021  4 Tb 3.29-3.50, 4 Dy 3.41, 3 Pr 3.54-3.64
Pr  0.6979  0.5000  0.1979  4 Tb 3.29-3.50, 4 Dy 3.41, 3 Pr 3.54-3.64
Pr  0.7313  0.2313  0.5000  1 Dy 3.15, 2 Tb 3.44
Dy  0.4031  0.9031  0.5000  5 Pr 3.15-3.41, 4 Tb 3.48
Dy  0.5969  0.0969  0.5000  5 Pr 3.15-3.41, 4 Tb 3.48

# 4
The following is a DFT calculation (PBE) of an optimized crystal structure of Nd2Al3ZnAu4.

Properties
Fermi-level density of states, states/eV/atom: 0.57
Calculated density, Mg/m³: 9.9
DFT total energy, eV/atom: -4.202

Lattice parameters (Å, degrees): 4.4420 4.4420 10.4431 90.00 90.00 90.00
Last column: nearest neighbours and their distance in Å.
Atoms (fractional coordinates):
Nd  0.0000  0.5000  0.2486  8 Au 3.37-3.44, 6 Al 3.39-3.42, 2 Zn 3.42
Nd  0.5000  0.0000  0.7514  8 Au 3.37-3.44, 6 Al 3.39-3.42, 2 Zn 3.42
Al  0.0000  0.0000  0.0000  4 Au 2.62
Al  0.0000  0.5000  0.6295  5 Au 2.49-2.60
Al  0.5000  0.0000  0.3705  5 Au 2.49-2.60
Zn  0.5000  0.5000  0.0000  4 Au 2.62
Au  0.0000  0.0000  0.5000  4 Al 2.60
Au  0.0000  0.5000  0.8677  3 Al 2.49-2.62, 2 Zn 2.62
Au  0.5000  0.0000  0.1323  3 Al 2.49-2.62, 2 Zn 2.62
Au  0.5000  0.5000  0.5000  4 Al 2.60

# 5
The following is a DFT calculation (PBE) of an optimized crystal structure of Ba2MnAu.

Properties
Fermi-level density of states, states/eV/atom: 1.20
Energy relative to the lowest polymorph listed for this composition, meV per atom: 81.0
Calculated density, Mg/m³: 6.5
DFT total energy, eV/atom: -4.067

Lattice parameters (Å, degrees): 7.0143 7.0143 7.0143 146.23 134.63 57.74
Last column: nearest neighbours and their distance in Å.
Atoms (fractional coordinates):
Ba  0.0000  0.0000  0.0000  4 Mn 3.57, 2 Ba 3.73, 4 Au 3.89-3.92
Ba  0.7091  0.2091  0.5000  4 Au 3.47, 2 Mn 3.64, 2 Ba 3.73
Mn  0.4079  0.4079  0.0000  2 Au 2.66
Au  0.2693  0.7693  0.5000  2 Mn 2.66

# 6
The following is a DFT calculation (PBE) of an optimized crystal structure of FeHgAu2.

Properties
Fermi-level density of states, states/eV/atom: 0.72
Calculated density, Mg/m³: 15.0
DFT total energy, eV/atom: -3.540

Lattice parameters (Å, degrees): 4.9050 4.9050 2.9853 90.00 90.00 90.00
Last column: nearest neighbours and their distance in Å.
Atoms (fractional coordinates):
Fe  0.0000  0.0000  0.0000  8 Au 2.87, 2 Fe 2.99
Hg  0.5000  0.5000  0.0000  8 Au 2.87, 2 Hg 2.99
Au  0.0000  0.5000  0.5000  4 Hg 2.87, 4 Fe 2.87, 2 Au 2.99
Au  0.5000  0.0000  0.5000  4 Hg 2.87, 4 Fe 2.87, 2 Au 2.99

# 7
The following is a DFT calculation (PBE) of an optimized crystal structure of Ca3FeSb.

Properties
Fermi-level density of states, states/eV/atom: 0.69
Energy relative to the lowest polymorph listed for this composition, meV per atom: 0.0
Calculated density, Mg/m³: 3.4
DFT total energy, eV/atom: -3.645

Lattice parameters (Å, degrees): 5.2648 5.2648 5.2648 90.00 90.00 90.00
Last column: nearest neighbours and their distance in Å.
Atoms (fractional coordinates):
Ca  0.0000  0.0000  0.5000  2 Fe 2.63
Ca  0.0000  0.5000  0.0000  2 Fe 2.63
Ca  0.5000  0.0000  0.0000  2 Fe 2.63
Fe  0.0000  0.0000  0.0000  6 Ca 2.63
Sb  0.5000  0.5000  0.5000  12 Ca 3.72

# 8
The following is a DFT calculation (PBE) of an optimized crystal structure of NiAg5Cl8.

Properties
Fermi-level density of states, states/eV/atom: 0.94
Energy relative to the lowest polymorph listed for this composition, meV per atom: 4.5
Calculated density, Mg/m³: 4.4
DFT total energy, eV/atom: -2.895

Lattice parameters (Å, degrees): 7.8044 7.8044 7.8044 60.00 60.00 60.00
Last column: nearest neighbours and their distance in Å.
Atoms (fractional coordinates):
Ni  0.0000  0.0000  0.0000  4 Cl 2.27
Ag  0.3742  0.3742  0.3742  6 Cl 2.69-2.82
Ag  0.3742  0.3742  0.8773  6 Cl 2.69-2.82
Ag  0.3742  0.8773  0.3742  6 Cl 2.69-2.82
Ag  0.7500  0.7500  0.7500  4 Cl 2.52
Ag  0.8773  0.3742  0.3742  6 Cl 2.69-2.82
Cl  0.1187  0.1187  0.1187  1 Ni 2.27
Cl  0.1187  0.1187  0.6438  1 Ni 2.27
Cl  0.1187  0.6438  0.1187  1 Ni 2.27
Cl  0.1458  0.6181  0.6181  4 Ag 2.52-2.69
Cl  0.6181  0.1458  0.6181  4 Ag 2.52-2.69
Cl  0.6181  0.6181  0.1458  4 Ag 2.52-2.69
Cl  0.6181  0.6181  0.6181  4 Ag 2.52-2.69
Cl  0.6438  0.1187  0.1187  1 Ni 2.27